1.
The following is a PBE calculation of a relaxed structure of Rb5PbO, from the Alexandria database.

Cell lengths 8.4278, 8.4278, 12.0203 Å; angles 69.02, 69.02, 59.15 degrees
Closest atoms and distances in Å follow each position.
Sites, in units of the cell vectors:
Rb 0.6235 0.1094 0.5659  1 O 2.70
Rb 0.6260 0.1005 0.0694  1 O 2.69
Rb 0.8906 0.3765 0.9341  1 O 2.70
Rb 0.0016 0.9984 0.2500  2 O 3.01
Rb 0.1005 0.6260 0.5694  1 O 2.69
Rb 0.1094 0.6235 0.0659  1 O 2.70
Rb 0.9984 0.0016 0.7500  2 O 3.01
Rb 0.3740 0.8995 0.9306  1 O 2.69
Rb 0.8995 0.3740 0.4306  1 O 2.69
Rb 0.3765 0.8906 0.4341  1 O 2.70
Pb 0.4995 0.5005 0.2500  10 Rb 4.09-4.18
Pb 0.5005 0.4995 0.7500  10 Rb 4.09-4.18
O 0.0000 0.0000 0.0000  6 Rb 2.69-3.01
O 0.0000 0.0000 0.5000  6 Rb 2.69-3.01

Results
Fermi-level density of states, states/eV/atom: 0.603
Energy relative to the elements, uncorrected, eV per atom: -0.4101



2.
The following is a PBE calculation of a relaxed structure of Rb11PbO2, from the Alexandria database.

Cell lengths 14.2135, 12.8776, 12.8776 Å; angles 68.02, 56.50, 56.50 degrees
Closest atoms and distances in Å follow each position.
Sites, in units of the cell vectors:
Rb 0.6153 0.1779 0.0757  1 O 2.84
Rb 0.5567 0.1109 0.6281  1 O 2.87
Rb 0.0000 0.0000 0.0000  2 O 3.20
Rb 0.6962 0.2692 0.7308  1 O 2.61
Rb 0.8689 0.9243 0.8221  1 O 2.84
Rb 0.3689 0.3221 0.4243  1 O 2.84
Rb 0.1311 0.0757 0.1779  1 O 2.84
Rb 0.5000 0.5000 0.5000  2 O 3.20
Rb 0.8847 0.4243 0.3221  1 O 2.84
Rb 0.3038 0.7308 0.2692  1 O 2.61
Rb 0.4433 0.8891 0.3719  1 O 2.87
Rb 0.2957 0.3719 0.8891  1 O 2.87
Rb 0.1962 0.2308 0.7692  1 O 2.61
Rb 0.8038 0.7692 0.2308  1 O 2.61
Rb 0.0567 0.1281 0.6109  1 O 2.87
Rb 0.9433 0.8719 0.3891  1 O 2.87
Rb 0.7957 0.3891 0.8719  1 O 2.87
Rb 0.6311 0.6779 0.5757  1 O 2.84
Rb 0.7043 0.6281 0.1109  1 O 2.87
Rb 0.2043 0.6109 0.1281  1 O 2.87
Rb 0.1153 0.5757 0.6779  1 O 2.84
Rb 0.3847 0.8221 0.9243  1 O 2.84
O 0.6628 0.6532 0.3468  5 Rb 2.61-2.87
O 0.3372 0.3468 0.6532  5 Rb 2.61-2.87
O 0.8372 0.1532 0.8468  5 Rb 2.61-2.87
O 0.1628 0.8468 0.1532  5 Rb 2.61-2.87
Pb 0.7500 0.7500 0.7500  8 Rb 4.03-4.10
Pb 0.2500 0.2500 0.2500  8 Rb 4.03-4.10

Results
Fermi-level density of states, states/eV/atom: 0.644
Energy relative to the elements, uncorrected, eV per atom: -0.3506



3.
The following is a PBE calculation of a relaxed structure of RbPb2O, from the Alexandria database.

Cell lengths 6.3505, 6.3505, 8.8052 Å; angles 68.86, 68.86, 90.00 degrees
Closest atoms and distances in Å follow each position.
Sites, in units of the cell vectors:
Rb 0.7500 0.2500 0.5000  8 Pb 4.01-4.03, 4 O 4.49
Rb 0.0000 0.0000 0.0000  8 Pb 4.01-4.03, 4 O 4.49
Pb 0.3770 0.1250 0.2500  2 O 2.47
Pb 0.3730 0.6250 0.2500  2 O 2.47
Pb 0.8750 0.6270 0.7500  2 O 2.47
Pb 0.3750 0.6230 0.7500  2 O 2.47
O 0.5000 0.5000 0.0000  4 Pb 2.47
O 0.2500 0.7500 0.5000  4 Pb 2.47

Results
Fermi-level density of states, states/eV/atom: 1.234
Energy relative to the elements, uncorrected, eV per atom: -0.2544



4.
The following is a PBE calculation of a relaxed structure of Rb5PbO4, from the Alexandria database.

Cell lengths 6.7512, 9.1672, 8.6296 Å; angles 90.00, 90.00, 90.00 degrees
Closest atoms and distances in Å follow each position.
Sites, in units of the cell vectors:
Pb 0.2078 0.0000 0.0000  4 O 2.26-2.30
Pb 0.7922 0.5000 0.5000  4 O 2.26-2.30
Rb 0.7407 0.8079 0.2397  4 O 2.84-2.97
Rb 0.2593 0.6921 0.7397  4 O 2.84-2.97
Rb 0.7407 0.1921 0.7603  4 O 2.84-2.97
Rb 0.1672 0.0000 0.5000  4 O 2.83-2.94
Rb 0.7407 0.8079 0.7603  4 O 2.84-2.97
Rb 0.8328 0.5000 0.0000  4 O 2.83-2.94
Rb 0.2593 0.6921 0.2603  4 O 2.84-2.97
Rb 0.2593 0.3079 0.2603  4 O 2.84-2.97
Rb 0.2593 0.3079 0.7397  4 O 2.84-2.97
Rb 0.7407 0.1921 0.2397  4 O 2.84-2.97
O 0.0332 0.2157 0.0000  1 Pb 2.30
O 0.3870 0.0000 0.2207  1 Pb 2.26
O 0.9668 0.7157 0.5000  1 Pb 2.30
O 0.6130 0.5000 0.7207  1 Pb 2.26
O 0.6130 0.5000 0.2793  1 Pb 2.26
O 0.9668 0.2843 0.5000  1 Pb 2.30
O 0.0332 0.7843 0.0000  1 Pb 2.30
O 0.3870 0.0000 0.7793  1 Pb 2.26

Results
Excess energy over the best structure of this formula in the dataset, eV/atom: 0.0000
Fermi-level density of states, states/eV/atom: 0.335
Energy relative to the elements, uncorrected, eV per atom: -1.0863



5.
The following is a PBE calculation of a relaxed structure of Rb2Pb3O6, from the Alexandria database.

Cell lengths 6.0643, 6.1131, 6.9950 Å; angles 82.36, 74.45, 60.26 degrees
Closest atoms and distances in Å follow each position.
Sites, in units of the cell vectors:
Pb 0.3350 0.3300 0.0000  6 O 2.25-2.29
Pb 0.0000 0.0000 0.0000  6 O 2.52-2.56
Pb 0.6650 0.6700 0.0000  6 O 2.25-2.29
O 0.5788 0.3744 0.1772  2 Pb 2.25-2.29
O 0.9532 0.6256 0.1772  2 Pb 2.25-2.29
O 0.4212 0.6256 0.8228  2 Pb 2.25-2.29
O 0.6883 0.0000 0.8230  3 Pb 2.27-2.52
O 0.3117 0.0000 0.1770  3 Pb 2.27-2.52
O 0.0468 0.3744 0.8228  2 Pb 2.25-2.29
Rb 0.8372 0.3257 0.5000  6 O 2.88-3.06
Rb 0.1628 0.6743 0.5000  6 O 2.88-3.06

Results
Energy relative to the elements, uncorrected, eV per atom: -1.1000



6.
The following is a PBE calculation of a relaxed structure of RbPbO2, from the Alexandria database.

Cell lengths 3.1773, 3.1773, 6.8060 Å; angles 90.00, 90.00, 90.00 degrees
Closest atoms and distances in Å follow each position.
Sites, in units of the cell vectors:
O 0.0000 0.0000 0.1988  4 Pb 2.62, 1 O 2.71
O 0.0000 0.0000 0.8012  4 Pb 2.62, 1 O 2.71
Pb 0.5000 0.5000 0.0000  8 O 2.62
Rb 0.5000 0.5000 0.5000  8 O 3.04, 4 Rb 3.18, 2 Pb 3.40

Results
Fermi-level density of states, states/eV/atom: 0.255
Energy relative to the elements, uncorrected, eV per atom: -0.7418



7.
The following is a PBE calculation of a relaxed structure of RbPbO2, from the Alexandria database.

Cell lengths 3.6425, 3.6425, 6.9922 Å; angles 74.90, 74.90, 60.00 degrees
Closest atoms and distances in Å follow each position.
Sites, in units of the cell vectors:
O 0.2729 0.2729 0.1814  3 Pb 2.44
O 0.0635 0.0635 0.8096  3 Pb 2.45
Pb 0.6677 0.6677 0.9970  6 O 2.44-2.45
Rb 0.4960 0.4960 0.5120  6 O 2.89-3.05

Results
Fermi-level density of states, states/eV/atom: 0.676
Energy relative to the elements, uncorrected, eV per atom: -1.0434



8.
The following is a PBE calculation of a relaxed structure of Rb4PbO5, from the Alexandria database.

Cell lengths 6.1211, 6.8450, 6.8450 Å; angles 78.47, 63.44, 63.44 degrees
Closest atoms and distances in Å follow each position.
Sites, in units of the cell vectors:
O 0.9174 0.3099 0.8371  1 Pb 2.19
O 0.7545 0.1629 0.3099  1 Pb 2.19
O 0.2274 0.8371 0.6901  1 Pb 2.19
O 0.4089 0.0000 0.0000  1 Pb 2.13
O 0.0645 0.6901 0.1629  1 Pb 2.19
Rb 0.6105 0.6135 0.2041  4 O 2.76-2.94
Rb 0.4281 0.3865 0.7959  4 O 2.76-2.94
Rb 0.8146 0.7959 0.6135  4 O 2.76-2.94
Rb 0.2240 0.2041 0.3865  4 O 2.76-2.94
Pb 0.0605 0.0000 0.0000  5 O 2.13-2.19

Results
Fermi-level density of states, states/eV/atom: 1.208
Energy relative to the elements, uncorrected, eV per atom: -0.9504



9.
The following is a PBE calculation of a relaxed structure of Rb2PbO3, from the Alexandria database.

Cell lengths 6.1674, 7.4593, 11.1491 Å; angles 90.00, 90.00, 90.00 degrees
Closest atoms and distances in Å follow each position.
Sites, in units of the cell vectors:
Rb 0.2651 0.1090 0.0865  5 O 2.84-3.05
Rb 0.2349 0.6090 0.5865  5 O 2.84-3.05
Rb 0.2651 0.1090 0.4135  5 O 2.84-3.05
Rb 0.7651 0.3910 0.4135  5 O 2.84-3.05
Rb 0.7651 0.3910 0.0865  5 O 2.84-3.05
Rb 0.7349 0.8910 0.5865  5 O 2.84-3.05
Rb 0.7349 0.8910 0.9135  5 O 2.84-3.05
Rb 0.2349 0.6090 0.9135  5 O 2.84-3.05
O 0.5094 0.2731 0.8792  2 Pb 2.22-2.24
O 0.3425 0.8874 0.7500  1 Pb 2.06
O 0.5094 0.2731 0.6208  2 Pb 2.22-2.24
O 0.9906 0.7731 0.3792  2 Pb 2.22-2.24
O 0.0094 0.2269 0.6208  2 Pb 2.22-2.24
O 0.8425 0.6126 0.7500  1 Pb 2.06
O 0.4906 0.7269 0.1208  2 Pb 2.22-2.24
O 0.1575 0.3874 0.2500  1 Pb 2.06
O 0.6575 0.1126 0.2500  1 Pb 2.06
O 0.9906 0.7731 0.1208  2 Pb 2.22-2.24
O 0.4906 0.7269 0.3792  2 Pb 2.22-2.24
O 0.0094 0.2269 0.8792  2 Pb 2.22-2.24
Pb 0.7694 0.3425 0.7500  5 O 2.06-2.24
Pb 0.2306 0.6575 0.2500  5 O 2.06-2.24
Pb 0.2694 0.1575 0.7500  5 O 2.06-2.24
Pb 0.7306 0.8425 0.2500  5 O 2.06-2.24

Results
Energy relative to the elements, uncorrected, eV per atom: -1.2113



10.
The following is a PBE calculation of a relaxed structure of Rb2PbO3, from the Alexandria database.

Cell lengths 6.7258, 6.7258, 6.1609 Å; angles 90.00, 90.00, 112.62 degrees
Closest atoms and distances in Å follow each position.
Sites, in units of the cell vectors:
Pb 0.0929 0.0929 0.7624  5 O 2.06-2.24
Pb 0.9071 0.9071 0.2624  5 O 2.06-2.24
Rb 0.8050 0.4796 0.7289  5 O 2.85-3.13
Rb 0.1950 0.5204 0.2289  5 O 2.85-3.13
Rb 0.4796 0.8050 0.7289  5 O 2.85-3.13
Rb 0.5204 0.1950 0.2289  5 O 2.85-3.13
O 0.1527 0.8957 0.5013  2 Pb 2.22-2.24
O 0.1043 0.8473 0.0013  2 Pb 2.22-2.24
O 0.6374 0.6374 0.3372  1 Pb 2.06
O 0.3626 0.3626 0.8372  1 Pb 2.06
O 0.8957 0.1527 0.5013  2 Pb 2.22-2.24
O 0.8473 0.1043 0.0013  2 Pb 2.22-2.24

Results
Energy relative to the elements, uncorrected, eV per atom: -1.2110